Below is Bi2Pb2I after structural relaxation, with properties calculated at the GGA-PBEsol level.

Calculated values
E_form (uncorrected): -0.56 eV/f.u.
DOS at the Fermi energy: 1.3 states/eV/f.u.
Raw total energy: -3.778 eV/atom

Lattice parameters (Å, degrees): 4.6901 4.6901 15.7512 90.00 90.00 90.00
Closest atoms and distances in Å follow each position.
Space group I4/mmm (No. 139)
Unique sites:
Bi 0.0000 0.5000 0.2500 (multiplicity 4)  4 Pb 3.24, 4 Bi 3.32
Pb 0.0000 0.0000 0.1081 (multiplicity 4)  4 Bi 3.24, 1 Pb 3.41
I 0.0000 0.0000 0.5000 (multiplicity 2)  8 Pb 3.73